A.
The following is a DFT calculation (PBE) of a relaxed structure of Li2RhPb2.

Total moment (μB/f.u.): 0.00
D(E_F) (states/eV/f.u.): 2.39

```
data_Li2RhPb2
_cell_length_a 6.754
_cell_length_b 6.754
_cell_length_c 4.106
_cell_angle_alpha 90.00
_cell_angle_beta 90.00
_cell_angle_gamma 90.00
_symmetry_space_group_name_H-M 'P 4/m b m'
_symmetry_Int_Tables_number 127
_symmetry_space_group_name_Hall '-P 4 2ab'
loop_
_atom_site_label
_atom_site_type_symbol
_atom_site_fract_x
_atom_site_fract_y
_atom_site_fract_z
Li1 Li 0.136 0.364 0.000
Rh1 Rh 0.000 0.000 0.000
Pb1 Pb 0.178 0.678 0.500
```


B.
The following is a DFT calculation (PBE) of a relaxed structure of Li2RhPb2.

Total moment (μB/f.u.): 0.00
D(E_F) (states/eV/f.u.): 1.02

```
data_Li2RhPb2
_cell_length_a 7.313
_cell_length_b 7.313
_cell_length_c 3.698
_cell_angle_alpha 90.00
_cell_angle_beta 90.00
_cell_angle_gamma 90.00
_symmetry_space_group_name_H-M 'P 4/m b m'
_symmetry_Int_Tables_number 127
_symmetry_space_group_name_Hall '-P 4 2ab'
loop_
_atom_site_label
_atom_site_type_symbol
_atom_site_fract_x
_atom_site_fract_y
_atom_site_fract_z
Li1 Li 0.153 0.347 0.000
Rh1 Rh 0.000 0.000 0.500
Pb1 Pb 0.153 0.653 0.500
```


It turns out B is the most stable, with the second structure 0.048 eV/atom higher.


A.
The following is a DFT calculation (PBE) of a relaxed structure of LiSmRhPb.

Total moment (μB/f.u.): 0.00
D(E_F) (states/eV/f.u.): 4.87

```
data_LiSmRhPb
_cell_length_a 6.867
_cell_length_b 6.867
_cell_length_c 6.867
_cell_angle_alpha 90.00
_cell_angle_beta 90.00
_cell_angle_gamma 90.00
_symmetry_space_group_name_H-M 'F -4 3 m'
_symmetry_Int_Tables_number 216
_symmetry_space_group_name_Hall 'F -4 2 3'
loop_
_atom_site_label
_atom_site_type_symbol
_atom_site_fract_x
_atom_site_fract_y
_atom_site_fract_z
Li1 Li 0.000 0.000 0.000
Sm1 Sm 0.250 0.250 0.250
Rh1 Rh 0.000 0.000 0.500
Pb1 Pb 0.250 0.250 0.750
```


B.
The following is a DFT calculation (PBE) of a relaxed structure of LiSmRhPb.

Total moment (μB/f.u.): 0.00
D(E_F) (states/eV/f.u.): 1.50

```
data_LiSmRhPb
_cell_length_a 7.617
_cell_length_b 4.403
_cell_length_c 5.842
_cell_angle_alpha 90.00
_cell_angle_beta 115.81
_cell_angle_gamma 90.00
_symmetry_space_group_name_H-M 'C 1 m 1'
_symmetry_Int_Tables_number 8
loop_
_symmetry_equiv_pos_as_xyz
'x,y,z'
'x,-y,z'
'x+1/2,y+1/2,z'
'x+1/2,-y+1/2,z'
loop_
_atom_site_label
_atom_site_type_symbol
_atom_site_fract_x
_atom_site_fract_y
_atom_site_fract_z
Li1 Li 0.000 0.000 0.000
Sm1 Sm 0.215 0.000 0.644
Rh1 Rh 0.155 0.500 0.965
Pb1 Pb 0.416 0.000 0.249
```


It turns out A is the most stable, with the second structure 0.164 eV/atom higher.


A.
The following is a DFT calculation (PBE) of a relaxed structure of LiPbS.

Total moment (μB/f.u.): 0.00
D(E_F) (states/eV/f.u.): 0.57

```
data_LiPbS
_cell_length_a 4.382
_cell_length_b 4.574
_cell_length_c 7.930
_cell_angle_alpha 90.00
_cell_angle_beta 90.00
_cell_angle_gamma 90.00
_symmetry_space_group_name_H-M 'P m m n'
_symmetry_Int_Tables_number 59
loop_
_symmetry_equiv_pos_as_xyz
'x,y,z'
'-x,-y,-z'
'-x+1/2,-y+1/2,z'
'x+1/2,y+1/2,-z'
'x+1/2,-y,-z'
'-x+1/2,y,z'
'-x,y+1/2,-z'
'x,-y+1/2,z'
loop_
_atom_site_label
_atom_site_type_symbol
_atom_site_fract_x
_atom_site_fract_y
_atom_site_fract_z
Li1 Li 0.250 0.250 0.007
Pb1 Pb 0.250 0.750 0.457
S1 S 0.250 0.750 0.137
```


B.
The following is a DFT calculation (PBE) of a relaxed structure of LiPbS.

Total moment (μB/f.u.): 0.00
D(E_F) (states/eV/f.u.): 1.08

```
data_LiPbS
_cell_length_a 3.959
_cell_length_b 4.129
_cell_length_c 16.537
_cell_angle_alpha 90.00
_cell_angle_beta 90.00
_cell_angle_gamma 90.00
_symmetry_space_group_name_H-M 'A m m 2'
_symmetry_Int_Tables_number 38
loop_
_symmetry_equiv_pos_as_xyz
'x,y,z'
'-x,-y,z'
'-x,y,z'
'x,-y,z'
'x,y+1/2,z+1/2'
'-x,-y+1/2,z+1/2'
'-x,y+1/2,z+1/2'
'x,-y+1/2,z+1/2'
loop_
_atom_site_label
_atom_site_type_symbol
_atom_site_fract_x
_atom_site_fract_y
_atom_site_fract_z
Li1 Li 0.000 0.000 0.000
Li2 Li 0.500 0.000 0.489
Pb1 Pb 0.000 0.000 0.332
Pb2 Pb 0.500 0.000 0.701
S1 S 0.000 0.000 0.572
S2 S 0.500 0.000 0.901
```


It turns out A is the most stable, with the second structure 0.029 eV/atom higher.